Crystalline DyPaMoO6 at its relaxed geometry, computed with PBE with a Hubbard U.

Results
space group	P4_2nm
total moment	4.0	Bohr magnetons per cell
energy	-8.61	eV per atom

Cell: 5.020 5.020 10.253 Å, 90.00 90.00 90.00°
Element x y z (fractional)
1 O 0.209 0.791 0.505
2 O 0.816 0.184 0.840
3 O 0.791 0.209 0.505
4 O 0.291 0.291 0.005
5 O 0.316 0.316 0.340
6 O 0.805 0.195 0.156
7 O 0.184 0.816 0.840
8 O 0.709 0.709 0.005
9 O 0.684 0.684 0.340
10 O 0.695 0.695 0.656
11 O 0.305 0.305 0.656
12 O 0.195 0.805 0.156
13 Dy 0.500 0.500 0.831
14 Dy 0.000 0.000 0.331
15 Mo 0.000 0.000 0.000
16 Mo 0.500 0.500 0.500
17 Pa 0.000 0.000 0.668
18 Pa 0.500 0.500 0.168